Entry P
Entry from Alexandria: a relaxed Ba2LiBr crystal (PBE).

a = 4.012 Å, b = 6.220 Å, c = 6.276 Å
α = 90.00°, β = 90.00°, γ = 90.00°
Atoms (fractional coordinates):
Ba  0.000  0.000  0.000
Ba  0.000  0.500  0.500
Li  0.500  0.000  0.500
Br  0.500  0.500  0.000

---

Entry Q
Entry from Alexandria: a relaxed Ba2LiBr crystal (PBE).

a = 6.146 Å, b = 6.146 Å, c = 6.146 Å
α = 60.00°, β = 60.00°, γ = 60.00°
Atoms (fractional coordinates):
Ba  0.250  0.250  0.250
Ba  0.750  0.750  0.750
Li  0.000  0.000  0.000
Br  0.500  0.500  0.500

---

Entry R
Entry from Alexandria: a relaxed Ba2LiBr crystal (PBE).

a = 4.198 Å, b = 4.198 Å, c = 11.402 Å
α = 90.00°, β = 90.00°, γ = 90.00°
Atoms (fractional coordinates):
Ba  0.000  0.000  0.000
Ba  0.500  0.500  0.335
Li  0.500  0.500  0.771
Br  0.000  0.000  0.463

---

Entry S
Entry from Alexandria: a relaxed Ba2LiBr crystal (PBE).

a = 8.106 Å, b = 8.106 Å, c = 8.106 Å
α = 144.89°, β = 144.89°, γ = 50.50°
Atoms (fractional coordinates):
Ba  0.000  0.000  0.000
Ba  0.750  0.250  0.500
Li  0.500  0.500  0.000
Br  0.250  0.750  0.500

---

Most stable structure: entry P

---

Entry P
Entry from Alexandria: a relaxed Ba2LiBr crystal (PBE).

a = 7.188 Å, b = 7.188 Å, c = 5.594 Å
α = 90.05°, β = 90.05°, γ = 34.78°
Atoms (fractional coordinates):
Ba  0.000  0.000  0.000
Ba  0.732  0.732  0.501
Li  0.260  0.260  0.001
Br  0.480  0.480  0.500

---

Entry Q
Entry from Alexandria: a relaxed Ba2LiBr crystal (PBE).

a = 6.250 Å, b = 6.250 Å, c = 6.250 Å
α = 60.00°, β = 60.00°, γ = 60.00°
Atoms (fractional coordinates):
Ba  0.000  0.000  0.000
Ba  0.250  0.250  0.250
Li  0.750  0.750  0.750
Br  0.500  0.500  0.500

---

Most stable structure: entry P

---

Entry P
Entry from Alexandria: a relaxed Ba2LiBr crystal (PBE).

a = 4.928 Å, b = 4.928 Å, c = 7.078 Å
α = 90.00°, β = 90.00°, γ = 90.00°
Atoms (fractional coordinates):
Ba  0.000  0.000  0.000
Ba  0.500  0.500  0.500
Li  0.000  0.000  0.500
Br  0.500  0.500  0.000

---

Entry Q
Entry from Alexandria: a relaxed Ba2LiBr crystal (PBE).

a = 4.663 Å, b = 4.663 Å, c = 9.674 Å
α = 104.03°, β = 104.03°, γ = 60.04°
Atoms (fractional coordinates):
Ba  0.247  0.247  0.243
Ba  0.753  0.753  0.757
Li  0.000  0.000  0.500
Br  0.500  0.500  0.000

---

Entry R
Entry from Alexandria: a relaxed Ba2LiBr crystal (PBE).

a = 7.988 Å, b = 7.988 Å, c = 7.988 Å
α = 110.48°, β = 110.48°, γ = 107.47°
Atoms (fractional coordinates):
Ba  0.101  0.125  0.476
Ba  0.375  0.899  0.024
Ba  0.649  0.625  0.524
Ba  0.875  0.351  0.976
Li  0.250  0.750  0.500
Li  0.500  0.500  0.000
Br  0.000  0.000  0.000
Br  0.750  0.250  0.500

---

Most stable structure: entry Q

---

Entry P
Entry from Alexandria: a relaxed BaLiBr2 crystal (PBE).

a = 6.682 Å, b = 6.682 Å, c = 4.515 Å
α = 91.55°, β = 91.55°, γ = 39.73°
Atoms (fractional coordinates):
Ba  0.000  0.000  0.000
Li  0.771  0.771  0.412
Br  0.291  0.291  0.056
Br  0.577  0.577  0.509

---

Entry Q
Entry from Alexandria: a relaxed BaLiBr2 crystal (PBE).

a = 5.642 Å, b = 5.642 Å, c = 5.642 Å
α = 60.00°, β = 60.00°, γ = 60.00°
Atoms (fractional coordinates):
Ba  0.000  0.000  0.000
Li  0.500  0.500  0.500
Br  0.250  0.250  0.250
Br  0.750  0.750  0.750

---

Most stable structure: entry P